Run A
{"formula": "NiRuN", "functional": "GGA-PBE", "state": "relaxed", "sg": "Pm (6)", "n_ef_per_ev_atom": 0.74, "total_magnetization_mub_per_cell": 0.0, "lattice_angstrom": [[2.828, 0.000, 0.000], [0.000, 3.602, 0.000], [-0.608, 0.000, 3.321]], "species": ["Ni", "Ru", "N"], "fractional_positions": [[0.000, 0.000, 0.000], [0.537, 0.500, 0.503], [0.941, 0.500, 0.085]]}


Run B
{"formula": "NiRuN", "functional": "GGA-PBE", "state": "relaxed", "sg": "P-1 (2)", "n_ef_per_ev_atom": 0.84, "total_magnetization_mub_per_cell": 0.0, "lattice_angstrom": [[2.797, 0.000, 0.000], [-1.393, 2.438, 0.000], [-0.021, -1.601, 9.898]], "species": ["Ni", "Ni", "Ru", "Ru", "N", "N"], "fractional_positions": [[0.201, 0.404, 0.109], [0.799, 0.596, 0.891], [0.372, 0.743, 0.612], [0.628, 0.257, 0.388], [0.436, 0.872, 0.801], [0.564, 0.128, 0.199]]}


Run C
{"formula": "NiRuN", "functional": "GGA-PBE", "state": "relaxed", "sg": "Pmm2 (25)", "n_ef_per_ev_atom": 0.83, "total_magnetization_mub_per_cell": 0.0, "lattice_angstrom": [[2.699, 0.000, 0.000], [0.000, 2.712, 0.000], [0.000, 0.000, 9.326]], "species": ["Ni", "Ni", "Ru", "Ru", "N", "N"], "fractional_positions": [[0.000, 0.000, 0.000], [0.500, 0.500, 0.178], [0.000, 0.000, 0.365], [0.500, 0.500, 0.560], [0.000, 0.500, 0.730], [0.000, 0.500, 0.858]]}


Stability check: which of them is most stable? run C.


Run A
{"formula": "NiRuSe2N", "functional": "GGA-PBE", "state": "relaxed", "sg": "P4/mmm (123)", "n_ef_per_ev_atom": 0.89, "total_magnetization_mub_per_cell": 0.0, "lattice_angstrom": [[4.854, 0.000, 0.000], [0.000, 4.854, 0.000], [0.000, 0.000, 3.314]], "species": ["Ni", "Ru", "Se", "Se", "N"], "fractional_positions": [[0.000, 0.000, 0.000], [0.500, 0.500, 0.500], [0.000, 0.500, 0.000], [0.500, 0.000, 0.000], [0.000, 0.000, 0.500]]}


Run B
{"formula": "NiRuSe2N", "functional": "GGA-PBE", "state": "relaxed", "sg": "P4/mmm (123)", "n_ef_per_ev_atom": 0.97, "total_magnetization_mub_per_cell": 0.6, "lattice_angstrom": [[5.012, 0.000, 0.000], [0.000, 5.012, 0.000], [0.000, 0.000, 3.602]], "species": ["Ni", "Ru", "Se", "Se", "N"], "fractional_positions": [[0.000, 0.000, 0.000], [0.500, 0.500, 0.500], [0.000, 0.500, 0.500], [0.500, 0.000, 0.500], [0.500, 0.500, 0.000]]}


Stability check: which of them is most stable? run B.


Run A
{"formula": "NiTeRuN2", "functional": "GGA-PBE", "state": "relaxed", "sg": "P4/mmm (123)", "n_ef_per_ev_atom": 1.38, "total_magnetization_mub_per_cell": 0.0, "lattice_angstrom": [[3.668, 0.000, 0.000], [0.000, 3.668, 0.000], [0.000, 0.000, 5.541]], "species": ["Ni", "Te", "Ru", "N", "N"], "fractional_positions": [[0.000, 0.000, 0.000], [0.000, 0.000, 0.500], [0.500, 0.500, 0.500], [0.000, 0.500, 0.000], [0.500, 0.000, 0.000]]}


Run B
{"formula": "NiTeRuN2", "functional": "GGA-PBE", "state": "relaxed", "sg": "P4/mmm (123)", "n_ef_per_ev_atom": 1.06, "total_magnetization_mub_per_cell": 0.2, "lattice_angstrom": [[3.743, 0.000, 0.000], [0.000, 3.743, 0.000], [0.000, 0.000, 5.850]], "species": ["Ni", "Te", "Ru", "N", "N"], "fractional_positions": [[0.000, 0.000, 0.000], [0.500, 0.500, 0.000], [0.500, 0.500, 0.500], [0.000, 0.500, 0.500], [0.500, 0.000, 0.500]]}


Stability check: which of them is most stable? run B.


Run A
{"formula": "TlNi2RuN", "functional": "GGA-PBE", "state": "relaxed", "sg": "P4/mmm (123)", "n_ef_per_ev_atom": 0.58, "total_magnetization_mub_per_cell": 0.0, "lattice_angstrom": [[3.977, 0.000, 0.000], [0.000, 3.977, 0.000], [0.000, 0.000, 4.038]], "species": ["Tl", "Ni", "Ni", "Ru", "N"], "fractional_positions": [[0.000, 0.000, 0.000], [0.000, 0.500, 0.500], [0.500, 0.000, 0.500], [0.500, 0.500, 0.000], [0.500, 0.500, 0.500]]}


Run B
{"formula": "TlNi2RuN", "functional": "GGA-PBE", "state": "relaxed", "sg": "P4/mmm (123)", "n_ef_per_ev_atom": 1.04, "total_magnetization_mub_per_cell": 0.9, "lattice_angstrom": [[3.744, 0.000, 0.000], [0.000, 3.744, 0.000], [0.000, 0.000, 5.049]], "species": ["Tl", "Ni", "Ni", "Ru", "N"], "fractional_positions": [[0.000, 0.000, 0.000], [0.000, 0.500, 0.500], [0.500, 0.000, 0.500], [0.500, 0.500, 0.000], [0.000, 0.000, 0.500]]}


Stability check: which of them is most stable? run A.


Run A
{"formula": "Ni2SN", "functional": "GGA-PBE", "state": "relaxed", "sg": "Fm-3m (225)", "n_ef_per_ev_atom": 0.49, "total_magnetization_mub_per_cell": 0.0, "lattice_angstrom": [[0.000, 2.723, 2.723], [2.723, 0.000, 2.723], [2.723, 2.723, 0.000]], "species": ["Ni", "Ni", "S", "N"], "fractional_positions": [[0.250, 0.250, 0.250], [0.750, 0.750, 0.750], [0.000, 0.000, 0.000], [0.500, 0.500, 0.500]]}


Run B
{"formula": "Ni2SN", "functional": "GGA-PBE", "state": "relaxed", "sg": "I-42d (122)", "n_ef_per_ev_atom": 0.91, "total_magnetization_mub_per_cell": 0.0, "lattice_angstrom": [[-2.234, 2.234, 5.046], [2.234, -2.234, 5.046], [2.234, 2.234, -5.046]], "species": ["Ni", "Ni", "Ni", "Ni", "S", "S", "N", "N"], "fractional_positions": [[0.043, 0.625, 0.918], [0.375, 0.293, 0.418], [0.707, 0.125, 0.082], [0.875, 0.957, 0.582], [0.250, 0.750, 0.500], [0.500, 0.500, 0.000], [0.000, 0.000, 0.000], [0.750, 0.250, 0.500]]}


Stability check: which of them is most stable? run B.


Run A
{"formula": "Ni3SN", "functional": "GGA-PBE", "state": "relaxed", "sg": "Pm-3m (221)", "n_ef_per_ev_atom": 0.89, "total_magnetization_mub_per_cell": 1.7, "lattice_angstrom": [[4.096, 0.000, 0.000], [0.000, 4.096, 0.000], [0.000, 0.000, 4.096]], "species": ["Ni", "Ni", "Ni", "S", "N"], "fractional_positions": [[0.000, 0.000, 0.500], [0.000, 0.500, 0.000], [0.500, 0.000, 0.000], [0.000, 0.000, 0.000], [0.500, 0.500, 0.500]]}


Run B
{"formula": "Ni3SN", "functional": "GGA-PBE", "state": "relaxed", "sg": "Pm-3m (221)", "n_ef_per_ev_atom": 0.72, "total_magnetization_mub_per_cell": 0.0, "lattice_angstrom": [[3.800, 0.000, 0.000], [0.000, 3.800, 0.000], [0.000, 0.000, 3.800]], "species": ["Ni", "Ni", "Ni", "S", "N"], "fractional_positions": [[0.000, 0.000, 0.500], [0.000, 0.500, 0.000], [0.500, 0.000, 0.000], [0.500, 0.500, 0.500], [0.000, 0.000, 0.000]]}


Stability check: which of them is most stable? run B.


Run A
{"formula": "NiSbS2N", "functional": "GGA-PBE", "state": "relaxed", "sg": "P4/mmm (123)", "n_ef_per_ev_atom": 0.23, "total_magnetization_mub_per_cell": 0.6, "lattice_angstrom": [[4.770, 0.000, 0.000], [0.000, 4.770, 0.000], [0.000, 0.000, 3.508]], "species": ["Ni", "Sb", "S", "S", "N"], "fractional_positions": [[0.000, 0.000, 0.000], [0.500, 0.500, 0.500], [0.000, 0.500, 0.000], [0.500, 0.000, 0.000], [0.000, 0.000, 0.500]]}


Run B
{"formula": "NiSbS2N", "functional": "GGA-PBE", "state": "relaxed", "sg": "P4/mmm (123)", "n_ef_per_ev_atom": 1.05, "total_magnetization_mub_per_cell": 2.3, "lattice_angstrom": [[5.043, 0.000, 0.000], [0.000, 5.043, 0.000], [0.000, 0.000, 3.884]], "species": ["Ni", "Sb", "S", "S", "N"], "fractional_positions": [[0.000, 0.000, 0.000], [0.500, 0.500, 0.500], [0.000, 0.500, 0.500], [0.500, 0.000, 0.500], [0.500, 0.500, 0.000]]}


Stability check: which of them is most stable? run A.


Run A
{"formula": "NiSbSN2", "functional": "GGA-PBE", "state": "relaxed", "sg": "P4/mmm (123)", "n_ef_per_ev_atom": 0.58, "total_magnetization_mub_per_cell": 2.5, "lattice_angstrom": [[3.839, 0.000, 0.000], [0.000, 3.839, 0.000], [0.000, 0.000, 4.706]], "species": ["Ni", "Sb", "S", "N", "N"], "fractional_positions": [[0.000, 0.000, 0.000], [0.500, 0.500, 0.500], [0.000, 0.000, 0.500], [0.000, 0.500, 0.000], [0.500, 0.000, 0.000]]}


Run B
{"formula": "NiSbSN2", "functional": "GGA-PBE", "state": "relaxed", "sg": "P4/mmm (123)", "n_ef_per_ev_atom": 1.04, "total_magnetization_mub_per_cell": 2.5, "lattice_angstrom": [[3.932, 0.000, 0.000], [0.000, 3.932, 0.000], [0.000, 0.000, 5.337]], "species": ["Ni", "Sb", "S", "N", "N"], "fractional_positions": [[0.000, 0.000, 0.000], [0.500, 0.500, 0.500], [0.500, 0.500, 0.000], [0.000, 0.500, 0.500], [0.500, 0.000, 0.500]]}


Stability check: which of them is most stable? run A.


Run A
{"formula": "ScNiSN2", "functional": "GGA-PBE", "state": "relaxed", "sg": "P4/mmm (123)", "n_ef_per_ev_atom": 1.50, "total_magnetization_mub_per_cell": 4.0, "lattice_angstrom": [[4.057, 0.000, 0.000], [0.000, 4.057, 0.000], [0.000, 0.000, 5.150]], "species": ["Sc", "Ni", "S", "N", "N"], "fractional_positions": [[0.000, 0.000, 0.000], [0.500, 0.500, 0.500], [0.000, 0.000, 0.500], [0.000, 0.500, 0.000], [0.500, 0.000, 0.000]]}


Run B
{"formula": "ScNiSN2", "functional": "GGA-PBE", "state": "relaxed", "sg": "P4/mmm (123)", "n_ef_per_ev_atom": 0.74, "total_magnetization_mub_per_cell": 1.5, "lattice_angstrom": [[3.725, 0.000, 0.000], [0.000, 3.725, 0.000], [0.000, 0.000, 4.533]], "species": ["Sc", "Ni", "S", "N", "N"], "fractional_positions": [[0.000, 0.000, 0.000], [0.500, 0.500, 0.500], [0.500, 0.500, 0.000], [0.000, 0.500, 0.500], [0.500, 0.000, 0.500]]}


Stability check: which of them is most stable? run B.


Run A
{"formula": "NiSeSN2", "functional": "GGA-PBE", "state": "relaxed", "sg": "P4/mmm (123)", "n_ef_per_ev_atom": 0.72, "total_magnetization_mub_per_cell": 0.3, "lattice_angstrom": [[3.512, 0.000, 0.000], [0.000, 3.512, 0.000], [0.000, 0.000, 7.716]], "species": ["Ni", "Se", "S", "N", "N"], "fractional_positions": [[0.000, 0.000, 0.000], [0.500, 0.500, 0.500], [0.000, 0.000, 0.500], [0.000, 0.500, 0.000], [0.500, 0.000, 0.000]]}


Run B
{"formula": "NiSeSN2", "functional": "GGA-PBE", "state": "relaxed", "sg": "P4/mmm (123)", "n_ef_per_ev_atom": 1.07, "total_magnetization_mub_per_cell": 1.2, "lattice_angstrom": [[3.557, 0.000, 0.000], [0.000, 3.557, 0.000], [0.000, 0.000, 6.549]], "species": ["Ni", "Se", "S", "N", "N"], "fractional_positions": [[0.000, 0.000, 0.000], [0.500, 0.500, 0.500], [0.500, 0.500, 0.000], [0.000, 0.500, 0.500], [0.500, 0.000, 0.500]]}


Stability check: which of them is most stable? run A.


Run A
{"formula": "Sr2NiSN", "functional": "GGA-PBE", "state": "relaxed", "sg": "P4/mmm (123)", "n_ef_per_ev_atom": 0.85, "total_magnetization_mub_per_cell": 0.2, "lattice_angstrom": [[5.596, 0.000, 0.000], [0.000, 5.596, 0.000], [0.000, 0.000, 3.731]], "species": ["Sr", "Sr", "Ni", "S", "N"], "fractional_positions": [[0.000, 0.500, 0.000], [0.500, 0.000, 0.000], [0.000, 0.000, 0.500], [0.500, 0.500, 0.000], [0.500, 0.500, 0.500]]}


Run B
{"formula": "Sr2NiSN", "functional": "GGA-PBE", "state": "relaxed", "sg": "P4/mmm (123)", "n_ef_per_ev_atom": 0.34, "total_magnetization_mub_per_cell": 0.4, "lattice_angstrom": [[5.285, 0.000, 0.000], [0.000, 5.285, 0.000], [0.000, 0.000, 3.614]], "species": ["Sr", "Sr", "Ni", "S", "N"], "fractional_positions": [[0.000, 0.500, 0.000], [0.500, 0.000, 0.000], [0.000, 0.000, 0.500], [0.500, 0.500, 0.500], [0.000, 0.000, 0.000]]}


Stability check: which of them is most stable? run B.


Run A
{"formula": "SrNiS2N", "functional": "GGA-PBE", "state": "relaxed", "sg": "P4/mmm (123)", "n_ef_per_ev_atom": 0.73, "total_magnetization_mub_per_cell": 0.2, "lattice_angstrom": [[4.925, 0.000, 0.000], [0.000, 4.925, 0.000], [0.000, 0.000, 3.559]], "species": ["Sr", "Ni", "S", "S", "N"], "fractional_positions": [[0.000, 0.000, 0.000], [0.500, 0.500, 0.500], [0.000, 0.500, 0.500], [0.500, 0.000, 0.500], [0.500, 0.500, 0.000]]}


Run B
{"formula": "SrNiS2N", "functional": "GGA-PBE", "state": "relaxed", "sg": "P4/mmm (123)", "n_ef_per_ev_atom": 1.97, "total_magnetization_mub_per_cell": 5.0, "lattice_angstrom": [[5.579, 0.000, 0.000], [0.000, 5.579, 0.000], [0.000, 0.000, 4.778]], "species": ["Sr", "Ni", "S", "S", "N"], "fractional_positions": [[0.000, 0.000, 0.000], [0.500, 0.500, 0.500], [0.000, 0.500, 0.000], [0.500, 0.000, 0.000], [0.000, 0.000, 0.500]]}


Stability check: which of them is most stable? run A.


Run A
{"formula": "TcNiS2N", "functional": "GGA-PBE", "state": "relaxed", "sg": "P4/mmm (123)", "n_ef_per_ev_atom": 0.80, "total_magnetization_mub_per_cell": 2.1, "lattice_angstrom": [[4.630, 0.000, 0.000], [0.000, 4.630, 0.000], [0.000, 0.000, 3.388]], "species": ["Tc", "Ni", "S", "S", "N"], "fractional_positions": [[0.000, 0.000, 0.000], [0.500, 0.500, 0.500], [0.000, 0.500, 0.500], [0.500, 0.000, 0.500], [0.500, 0.500, 0.000]]}


Run B
{"formula": "TcNiS2N", "functional": "GGA-PBE", "state": "relaxed", "sg": "P4/mmm (123)", "n_ef_per_ev_atom": 1.07, "total_magnetization_mub_per_cell": 1.0, "lattice_angstrom": [[4.753, 0.000, 0.000], [0.000, 4.753, 0.000], [0.000, 0.000, 3.674]], "species": ["Tc", "Ni", "S", "S", "N"], "fractional_positions": [[0.000, 0.000, 0.000], [0.500, 0.500, 0.500], [0.000, 0.500, 0.000], [0.500, 0.000, 0.000], [0.000, 0.000, 0.500]]}


Stability check: which of them is most stable? run B.


Run A
{"formula": "NiTeS2N", "functional": "GGA-PBE", "state": "relaxed", "sg": "P4/mmm (123)", "n_ef_per_ev_atom": 0.61, "total_magnetization_mub_per_cell": 0.5, "lattice_angstrom": [[4.779, 0.000, 0.000], [0.000, 4.779, 0.000], [0.000, 0.000, 3.508]], "species": ["Ni", "Te", "S", "S", "N"], "fractional_positions": [[0.000, 0.000, 0.000], [0.500, 0.500, 0.500], [0.000, 0.500, 0.000], [0.500, 0.000, 0.000], [0.000, 0.000, 0.500]]}


Run B
{"formula": "NiTeS2N", "functional": "GGA-PBE", "state": "relaxed", "sg": "P4/mmm (123)", "n_ef_per_ev_atom": 1.12, "total_magnetization_mub_per_cell": 1.8, "lattice_angstrom": [[5.069, 0.000, 0.000], [0.000, 5.069, 0.000], [0.000, 0.000, 3.868]], "species": ["Ni", "Te", "S", "S", "N"], "fractional_positions": [[0.000, 0.000, 0.000], [0.500, 0.500, 0.500], [0.000, 0.500, 0.500], [0.500, 0.000, 0.500], [0.500, 0.500, 0.000]]}


Stability check: which of them is most stable? run A.